[1]
Pm2In2Ir | PBE-GGA | optimized geometry

The calculation puts the energy of formation at -0.432 eV/atom. The calculation puts the total magnetic moment at 0.00 μB/f.u. Its density of states at the Fermi level is 20.1 states/eV/cell. The uncorrected energy is -104.00 eV per cell. As for the crystal system: tetragonal.

Unit cell a=4.726 b=4.726 c=24.408 alpha=90.00 beta=90.00 gamma=90.00
Space group I4_1/amd (No. 141, origin choice 2)
Unique sites:
Pm: 0.000 0.250 0.061 (multiplicity 8)
In: 0.000 0.250 0.200 (multiplicity 8)
Ir: 0.000 0.250 0.375 (multiplicity 4)



[2]
Tb2NdSm5 | PBE-GGA | optimized geometry

The calculation puts the energy of formation at 0.027 eV/atom. The calculation puts the total magnetic moment at 0.00 μB/f.u. Its density of states at the Fermi level is 29.5 states/eV/cell. The uncorrected energy is -74.82 eV per cell. As for the crystal system: triclinic.

Unit cell a=6.876 b=9.363 c=9.363 alpha=85.38 beta=71.43 gamma=71.39
Space group P-1 (No. 2)
Unique sites:
Tb: 0.000 0.167 0.084 (multiplicity 2)
Tb: 0.499 0.584 0.667 (multiplicity 2)
Nd: 0.251 0.791 0.207 (multiplicity 2)
Sm: 0.002 0.666 0.583 (multiplicity 2)
Sm: 0.249 0.459 0.041 (multiplicity 2)
Sm: 0.250 0.959 0.541 (multiplicity 2)
Sm: 0.251 0.292 0.709 (multiplicity 2)
Sm: 0.499 0.917 0.833 (multiplicity 2)



[3]
NiAs2PbBr | PBE-GGA | optimized geometry

The calculation puts the total magnetic moment at 0.54 μB/f.u. Its density of states at the Fermi level is 4.5 states/eV/cell. The uncorrected energy is -19.65 eV per cell. As for the crystal system: tetragonal. The formation energy from raw total energies comes out at 0.1626 eV/atom.

Unit cell a=4.504 b=4.504 c=6.211 alpha=90.00 beta=90.00 gamma=90.00
Space group P4/mmm (No. 123)
Unique sites:
Ni: 0.000 0.000 0.000 (multiplicity 1)
As: 0.000 0.500 0.000 (multiplicity 2)
Pb: 0.500 0.500 0.500 (multiplicity 1)
Br: 0.000 0.000 0.500 (multiplicity 1)



[4]
CsNa3Au2 | PBE-GGA | optimized geometry

The calculation puts the energy of formation at -0.229 eV/atom. The calculation puts the total magnetic moment at 0.00 μB/f.u. Its density of states at the Fermi level is 10.8 states/eV/cell. The uncorrected energy is -50.97 eV per cell. As for the crystal system: monoclinic.

Unit cell a=18.069 b=4.984 c=9.689 alpha=90.00 beta=114.99 gamma=90.00
Space group C2/m (No. 12)
Unique sites:
Cs: 0.152 0.000 0.072 (multiplicity 4)
Na: 0.032 0.000 0.347 (multiplicity 4)
Na: 0.095 0.500 0.685 (multiplicity 4)
Na: 0.180 0.500 0.443 (multiplicity 4)
Au: 0.017 0.500 0.154 (multiplicity 4)
Au: 0.177 0.000 0.647 (multiplicity 4)



[5]
Sc2GeH | PBE-GGA | optimized geometry

The calculation puts the total magnetic moment at 0.00 μB/f.u. Its density of states at the Fermi level is 13.7 states/eV/cell. The uncorrected energy is -88.28 eV per cell. As for the crystal system: cubic.

Unit cell a=6.428 b=6.428 c=6.428 alpha=90.00 beta=90.00 gamma=90.00
Space group Fm-3m (No. 225)
Unique sites:
Sc: 0.250 0.250 0.250 (multiplicity 8)
Ge: 0.000 0.000 0.000 (multiplicity 4)
H: 0.000 0.000 0.500 (multiplicity 4)



[6]
MgUBr6 | PBE-GGA | optimized geometry

The calculation puts the total magnetic moment at 2.00 μB/f.u. Its density of states at the Fermi level is 8.9 states/eV/cell. The uncorrected energy is -67.28 eV per cell. As for the crystal system: monoclinic. The formation energy from raw total energies comes out at -1.3400 eV/atom.

Unit cell a=7.432 b=12.780 c=6.938 alpha=90.00 beta=92.95 gamma=90.00
Space group C2/m (No. 12)
Unique sites:
Mg: 0.000 0.000 0.000 (multiplicity 2)
U: 0.000 0.000 0.500 (multiplicity 2)
Br: 0.144 0.145 0.248 (multiplicity 8)
Br: 0.211 0.500 0.225 (multiplicity 4)



[7]
Zr3InCo | PBE-GGA | optimized geometry

The calculation puts the energy of formation at -0.020 eV/atom. The calculation puts the total magnetic moment at 0.00 μB/f.u. Its density of states at the Fermi level is 6.4 states/eV/cell. The uncorrected energy is -35.59 eV per cell. As for the crystal system: cubic.

Unit cell a=4.841 b=4.841 c=4.841 alpha=90.00 beta=90.00 gamma=90.00
Space group Pm-3m (No. 221)
Unique sites:
Zr: 0.000 0.000 0.500 (multiplicity 3)
In: 0.500 0.500 0.500 (multiplicity 1)
Co: 0.000 0.000 0.000 (multiplicity 1)



[8]
CePr3Er4 | PBE-GGA | optimized geometry

The calculation puts the energy of formation at 0.155 eV/atom. The calculation puts the total magnetic moment at 1.23 μB/f.u. Its density of states at the Fermi level is 29.8 states/eV/cell. The uncorrected energy is -74.56 eV per cell. As for the crystal system: orthorhombic.

Unit cell a=3.425 b=11.656 c=13.151 alpha=90.00 beta=90.00 gamma=90.00
Space group Immm (No. 71)
Unique sites:
Ce: 0.000 0.000 0.000 (multiplicity 2)
Pr: 0.000 0.000 0.500 (multiplicity 2)
Pr: 0.000 0.500 0.264 (multiplicity 4)
Er: 0.000 0.250 0.133 (multiplicity 8)